# 1
This record from Alexandria via LeMat-Bulk describes a relaxed structure of Ac5NdSb6. The functional is PBE.

a b c (Å): 8.240 14.272 8.240
angles (deg): 90.00 109.49 90.00
Space group C2/m (No. 12)
Inequivalent atoms, fractional coordinates:
Ac 0.000 0.000 0.000 x2
Ac 0.000 0.166 0.500 x4
Ac 0.000 0.332 0.000 x4
Nd 0.000 0.500 0.500 x2
Sb 0.243 0.500 0.254 x4
Sb 0.244 0.337 0.745 x8

calculated density	7.31	Mg/m³
uncorrected formation energy	-1.2032	eV per atom

***

# 2
This record from Alexandria via LeMat-Bulk describes a relaxed structure of AcNdSb2. The functional is PBE.

a b c (Å): 8.005 8.005 8.005
angles (deg): 90.00 90.00 90.00
Space group Fm-3m (No. 225)
Inequivalent atoms, fractional coordinates:
Ac 0.000 0.000 0.000 x4
Nd 0.000 0.000 0.500 x4
Sb 0.250 0.250 0.250 x8

calculated density	7.96	Mg/m³
uncorrected formation energy	-0.9047	eV per atom

***

# 3
This record from Alexandria via LeMat-Bulk describes a relaxed structure of AcNdSb2. The functional is PBE.

a b c (Å): 4.6635 4.6635 22.8553
angles (deg): 90.00 90.00 120.00
Space group R-3m (No. 166, hexagonal axes)
Inequivalent atoms, fractional coordinates:
Ac 0.0000 0.0000 0.0000 x3
Nd 0.0000 0.0000 0.5000 x3
Sb 0.0000 0.0000 0.2452 x6

calculated density	7.11	Mg/m³
uncorrected formation energy	-1.1912	eV per atom

***

# 4
This record from Alexandria via LeMat-Bulk describes a relaxed structure of AcNdSb2. The functional is PBE.

a b c (Å): 4.6317 4.6317 15.3873
angles (deg): 90.00 90.00 120.00
Space group P6_3/mmc (No. 194)
Inequivalent atoms, fractional coordinates:
Ac 0.3333 0.6667 0.2500 x2
Nd 0.0000 0.0000 0.0000 x2
Sb 0.3333 0.6667 0.6164 x4

calculated density	7.14	Mg/m³
uncorrected formation energy	-1.1547	eV per atom

***

# 5
This record from Alexandria via LeMat-Bulk describes a relaxed structure of AcNd2SmSb4. The functional is PBE.

a b c (Å): 7.938 4.586 7.940
angles (deg): 90.00 109.42 90.00
Space group P2/m (No. 10)
Inequivalent atoms, fractional coordinates:
Ac 0.000 0.000 0.000 x1
Nd 0.000 0.500 0.500 x1
Nd 0.500 0.000 0.500 x1
Sm 0.500 0.500 0.000 x1
Sb 0.257 0.000 0.747 x2
Sb 0.261 0.500 0.259 x2

calculated density	7.02	Mg/m³
uncorrected formation energy	-1.1727	eV per atom

***

# 6
This record from Alexandria via LeMat-Bulk describes a relaxed structure of Ac2NdSmSb4. The functional is PBE.

a b c (Å): 8.050 4.651 8.059
angles (deg): 90.00 109.44 90.00
Space group P2/m (No. 10)
Inequivalent atoms, fractional coordinates:
Ac 0.000 0.000 0.000 x1
Ac 0.500 0.500 0.000 x1
Nd 0.000 0.500 0.500 x1
Sm 0.500 0.000 0.500 x1
Sb 0.246 0.000 0.734 x2
Sb 0.257 0.500 0.267 x2

calculated density	7.21	Mg/m³
uncorrected formation energy	-1.1861	eV per atom

***

# 7
This record from Alexandria via LeMat-Bulk describes a relaxed structure of AcNdSm2Sb4. The functional is PBE.

a b c (Å): 7.913 4.571 7.917
angles (deg): 90.00 109.44 90.00
Space group P2/m (No. 10)
Inequivalent atoms, fractional coordinates:
Ac 0.000 0.000 0.000 x1
Nd 0.000 0.500 0.500 x1
Sm 0.500 0.000 0.500 x1
Sm 0.500 0.500 0.000 x1
Sb 0.258 0.000 0.746 x2
Sb 0.263 0.500 0.261 x2

calculated density	7.13	Mg/m³
uncorrected formation energy	-1.1722	eV per atom

***

# 8
This record from Alexandria via LeMat-Bulk describes a relaxed structure of AcNdSnSb. The functional is PBE.

a b c (Å): 8.014 8.014 8.014
angles (deg): 90.00 90.00 90.00
Space group F-43m (No. 216)
Inequivalent atoms, fractional coordinates:
Ac 0.000 0.000 0.000 x4
Nd 0.000 0.000 0.500 x4
Sn 0.250 0.250 0.250 x4
Sb 0.250 0.250 0.750 x4

calculated density	7.90	Mg/m³
uncorrected formation energy	-0.6916	eV per atom